Entry 1:
## LiNiPt2 (PBE-GGA)

Data for LiNiPt2 after structural relaxation.

```
LiNiPt2
1.0
-1.9362 1.9362 3.5993
1.9362 -1.9362 3.5993
1.9362 1.9362 -3.5993
Li Ni Pt
1 1 2
Direct
0.0000 0.0000 0.0000 Li
0.5000 0.5000 0.0000 Ni
0.2500 0.7500 0.5000 Pt
0.7500 0.2500 0.5000 Pt
```

magnetization: 1.4 μB/cell
final energy: -5.250 eV/atom
density: 14.02 Mg/m³
density of states at the Fermi level: 0.711 states/eV/atom

---

Entry 2:
## Li2NiPt (PBE-GGA)

Data for Li2NiPt after structural relaxation.

```
Li2NiPt
1.0
1.3575 0.7838 9.0002
-1.3575 0.7838 9.0002
0.0000 -1.5675 9.0002
Li Ni Pt
2 1 1
Direct
0.0000 0.0000 0.0000 Li
0.2332 0.2332 0.2332 Li
0.7417 0.7417 0.7417 Ni
0.4890 0.4890 0.4890 Pt
```

magnetization: 0.5 μB/cell
final energy: -4.038 eV/atom
density: 7.74 Mg/m³
density of states at the Fermi level: 0.974 states/eV/atom

---

Entry 3:
## LiNiPt2 (PBE-GGA)

Data for LiNiPt2 after structural relaxation.

```
LiNiPt2
1.0
2.7166 0.0000 0.0000
0.0000 2.7166 0.0000
0.0000 0.0000 7.4984
Li Ni Pt
1 1 2
Direct
0.0000 0.0000 0.0000 Li
0.0000 0.0000 0.5000 Ni
0.5000 0.5000 0.2602 Pt
0.5000 0.5000 0.7398 Pt
```

magnetization: 1.2 μB/cell
final energy: -5.238 eV/atom
density: 13.68 Mg/m³
density of states at the Fermi level: 0.936 states/eV/atom

---

Entry 4:
## LiNiPt2 (PBE-GGA)

Data for LiNiPt2 after structural relaxation.

```
LiNiPt2
1.0
2.8732 0.0000 0.0000
0.0000 2.8732 0.0000
0.0000 0.0000 6.4315
Li Ni Pt
1 1 2
Direct
0.0000 0.0000 0.0000 Li
0.5000 0.5000 0.2128 Ni
0.0000 0.0000 0.4605 Pt
0.5000 0.5000 0.7690 Pt
```

magnetization: 1.3 μB/cell
final energy: -5.066 eV/atom
density: 14.26 Mg/m³
density of states at the Fermi level: 1.378 states/eV/atom

---

Entry 5:
## LiNiPt2 (PBE-GGA)

Data for LiNiPt2 after structural relaxation.

```
LiNiPt2
1.0
1.3666 0.7890 8.6043
-1.3666 0.7890 8.6043
0.0000 -1.5780 8.6043
Li Ni Pt
1 1 2
Direct
0.0000 0.0000 0.0000 Li
0.5000 0.5000 0.5000 Ni
0.2490 0.2490 0.2490 Pt
0.7510 0.7510 0.7510 Pt
```

magnetization: 1.0 μB/cell
final energy: -5.260 eV/atom
density: 13.60 Mg/m³
density of states at the Fermi level: 0.855 states/eV/atom

---

Entry 6:
## LiNiPt2 (PBE-GGA)

Data for LiNiPt2 after structural relaxation.

```
LiNiPt2
1.0
1.3821 -2.3033 0.0000
1.3821 2.3033 0.0000
0.0000 0.0000 8.8348
Li Ni Pt
1 1 2
Direct
0.0000 0.0000 0.0000 Li
0.0000 0.0000 0.5000 Ni
0.5000 0.5000 0.2493 Pt
0.5000 0.5000 0.7507 Pt
```

magnetization: 0.8 μB/cell
final energy: -5.166 eV/atom
density: 13.46 Mg/m³
density of states at the Fermi level: 1.066 states/eV/atom

---

Entry 7:
## Li2NiPt (PBE-GGA)

Data for Li2NiPt after structural relaxation.

```
Li2NiPt
1.0
2.7954 0.0000 0.0000
0.0000 4.3349 0.0000
0.0000 0.0000 4.2198
Li Ni Pt
2 1 1
Direct
0.0000 0.0000 0.0000 Li
0.5000 0.5000 0.0040 Li
0.0000 0.5000 0.5036 Ni
0.5000 0.0000 0.5004 Pt
```

magnetization: 0.2 μB/cell
final energy: -4.265 eV/atom
density: 8.69 Mg/m³
density of states at the Fermi level: 0.660 states/eV/atom

---

Entry 8:
## Li2NiPt (PBE-GGA)

Data for Li2NiPt after structural relaxation.

```
Li2NiPt
1.0
1.3479 0.7782 8.3812
-1.3479 0.7782 8.3812
0.0000 -1.5564 8.3812
Li Ni Pt
2 1 1
Direct
0.2487 0.2487 0.2487 Li
0.7513 0.7513 0.7513 Li
0.5000 0.5000 0.5000 Ni
0.0000 0.0000 0.0000 Pt
```

magnetization: 0.0 μB/cell
final energy: -4.209 eV/atom
density: 8.43 Mg/m³
density of states at the Fermi level: 0.628 states/eV/atom

---

Entry 9:
## LiNiPt2 (PBE-GGA)

Data for LiNiPt2 after structural relaxation.

```
LiNiPt2
1.0
2.6932 0.0000 0.0000
0.0000 3.9130 0.0000
0.0000 0.0000 5.2243
Li Ni Pt
1 1 2
Direct
0.0000 0.0000 0.0000 Li
0.5000 0.5000 0.2686 Ni
0.0000 0.0000 0.4825 Pt
0.5000 0.5000 0.7770 Pt
```

magnetization: 1.3 μB/cell
final energy: -5.178 eV/atom
density: 13.75 Mg/m³
density of states at the Fermi level: 1.045 states/eV/atom

---

Entry 10:
## LiNiPt2 (PBE-GGA)

Data for LiNiPt2 after structural relaxation.

```
LiNiPt2
1.0
1.3622 -2.3026 0.0000
1.3622 2.3026 0.0000
0.0000 0.0000 9.1144
Li Ni Pt
1 1 2
Direct
0.0000 0.0000 0.0000 Li
0.5000 0.5000 0.2375 Ni
0.0000 0.0000 0.4768 Pt
0.5000 0.5000 0.7621 Pt
```

magnetization: 0.8 μB/cell
final energy: -5.024 eV/atom
density: 13.24 Mg/m³
density of states at the Fermi level: 1.048 states/eV/atom

---

Entry 11:
## LiNiPt2 (PBE-GGA)

Data for LiNiPt2 after structural relaxation.

```
LiNiPt2
1.0
-1.8749 1.8749 3.8651
1.8749 -1.8749 3.8651
1.8749 1.8749 -3.8651
Li Ni Pt
1 1 2
Direct
0.0000 0.0000 0.0000 Li
0.2500 0.7500 0.5000 Ni
0.5000 0.5000 0.0000 Pt
0.7500 0.2500 0.5000 Pt
```

magnetization: 1.2 μB/cell
final energy: -5.214 eV/atom
density: 13.93 Mg/m³
density of states at the Fermi level: 0.882 states/eV/atom

---

Entry 12:
## LiNiPt6 (PBE-GGA)

Data for LiNiPt6 after structural relaxation.

```
LiNiPt6
1.0
4.3371 -1.9516 0.0000
4.3371 1.9516 0.0000
-3.4939 0.0000 6.9363
Li Ni Pt
1 1 6
Direct
0.0000 0.0000 0.0000 Li
0.0000 0.0000 0.5000 Ni
0.2491 0.2491 0.8744 Pt
0.2504 0.2504 0.3748 Pt
0.4995 0.4995 0.2480 Pt
0.5005 0.5005 0.7520 Pt
0.7496 0.7496 0.6252 Pt
0.7509 0.7509 0.1256 Pt
```

magnetization: 0.9 μB/cell
final energy: -5.691 eV/atom
density: 17.48 Mg/m³
density of states at the Fermi level: 1.664 states/eV/atom

---

Q: Which of these has the lowest density?
A: number 2

---

Q: Number 11 is which compound?
A: LiNiPt2

---

Q: The highest magnetization belongs to which entry?
A: number 1